Record 1
This record from OQMD via LeMat-Bulk describes crystalline NaOsNO at its relaxed geometry. The functional is PBE-GGA.

Summary:
Its energy relative to the lowest polymorph listed for this composition is 0.730 eV/atom. The density is 6.82 g cm⁻³. The spin magnetization comes out at 0.03 μB per cell. The total energy comes out at -48.4 eV for the cell shown.

a = 3.6753 Å, b = 3.6753 Å, c = 8.7674 Å
α = 90.00°, β = 90.00°, γ = 90.00°
Space group P4/nmm (No. 129, origin choice 2)
Asymmetric unit:
Na (0.2500, 0.2500, 0.1498) (multiplicity 2)
Os (0.2500, 0.7500, 0.5000) (multiplicity 2)
N (0.2500, 0.2500, 0.6099) (multiplicity 2)
O (0.2500, 0.7500, 0.0000) (multiplicity 2)

Record 2
This record from OQMD via LeMat-Bulk describes crystalline NaSmNO at its relaxed geometry. The functional is PBE-GGA.

Summary:
Its energy relative to the lowest polymorph listed for this composition is 0.008 eV/atom. The density is 5.62 g cm⁻³. The spin magnetization comes out at 1.39 μB per cell. The total energy comes out at -98.2 eV for the cell shown.

a = 7.0531 Å, b = 6.0084 Å, c = 5.6686 Å
α = 90.00°, β = 90.00°, γ = 90.00°
Space group Pbcm (No. 57)
Asymmetric unit:
Na (0.1113, 0.0883, 0.2500) (multiplicity 4)
Sm (0.3656, 0.5670, 0.2500) (multiplicity 4)
N (0.1441, 0.7500, 0.0000) (multiplicity 4)
O (0.4161, 0.2500, 0.0000) (multiplicity 4)

Record 3
This record from OQMD via LeMat-Bulk describes crystalline NaSmNO at its relaxed geometry. The functional is PBE-GGA.

Summary:
Its energy relative to the lowest polymorph listed for this composition is 0.230 eV/atom. The density is 5.53 g cm⁻³. The spin magnetization comes out at 2.00 μB per cell. The total energy comes out at -47.3 eV for the cell shown.

a = 3.8500 Å, b = 3.8500 Å, c = 8.2319 Å
α = 90.00°, β = 90.00°, γ = 90.00°
Space group P4/nmm (No. 129, origin choice 2)
Asymmetric unit:
Na (0.2500, 0.7500, 0.0000) (multiplicity 2)
Sm (0.2500, 0.2500, 0.3532) (multiplicity 2)
N (0.2500, 0.2500, 0.8192) (multiplicity 2)
O (0.2500, 0.7500, 0.5000) (multiplicity 2)

Record 4
This record from OQMD via LeMat-Bulk describes crystalline NaSmNO at its relaxed geometry. The functional is PBE-GGA.

Summary:
Its energy relative to the lowest polymorph listed for this composition is 0.000 eV/atom. The density is 4.90 g cm⁻³. The spin magnetization comes out at 1.61 μB per cell. The total energy comes out at -49.2 eV for the cell shown.

a = 4.7827 Å, b = 3.9209 Å, c = 7.3572 Å
α = 90.00°, β = 90.00°, γ = 90.00°
Space group Pmma (No. 51)
Asymmetric unit:
Na (0.2500, 0.0000, 0.1427) (multiplicity 2)
Sm (0.2500, 0.5000, 0.6847) (multiplicity 2)
N (0.2500, 0.5000, 0.3638) (multiplicity 2)
O (0.2500, 0.0000, 0.8313) (multiplicity 2)

Record 5
This record from OQMD via LeMat-Bulk describes crystalline NaSmNO at its relaxed geometry. The functional is PBE-GGA.

Summary:
Its energy relative to the lowest polymorph listed for this composition is 0.099 eV/atom. The density is 4.87 g cm⁻³. The spin magnetization comes out at 3.97 μB per cell. The total energy comes out at -96.7 eV for the cell shown.

a = 6.8475 Å, b = 8.1984 Å, c = 4.9435 Å
α = 90.00°, β = 90.00°, γ = 90.00°
Space group Pca2_1 (No. 29)
Asymmetric unit:
Na (0.0957, 0.1004, 0.0000) (multiplicity 4)
Sm (0.0652, 0.6455, 0.9988) (multiplicity 4)
N (0.0980, 0.6116, 0.4985) (multiplicity 4)
O (0.0810, 0.1301, 0.5011) (multiplicity 4)

Record 6
This record from OQMD via LeMat-Bulk describes crystalline NaSmNO at its relaxed geometry. The functional is PBE-GGA.

Summary:
Its energy relative to the lowest polymorph listed for this composition is 0.033 eV/atom. The density is 5.76 g cm⁻³. The spin magnetization comes out at 2.00 μB per cell. The total energy comes out at -48.9 eV for the cell shown.

a = 4.9895 Å, b = 4.9895 Å, c = 4.7066 Å
α = 90.00°, β = 90.00°, γ = 90.00°
Space group P4/nmm (No. 129, origin choice 2)
Asymmetric unit:
Na (0.2500, 0.2500, 0.9999) (multiplicity 2)
Sm (0.2500, 0.7500, 0.5000) (multiplicity 2)
N (0.2500, 0.2500, 0.4991) (multiplicity 2)
O (0.2500, 0.7500, 0.0000) (multiplicity 2)

Record 7
This record from OQMD via LeMat-Bulk describes crystalline NaSmNO at its relaxed geometry. The functional is PBE-GGA.

Summary:
Its energy relative to the lowest polymorph listed for this composition is 0.027 eV/atom. The density is 4.95 g cm⁻³. The spin magnetization comes out at 2.00 μB per cell. The total energy comes out at -48.9 eV for the cell shown.

a = 4.7641 Å, b = 4.2520 Å, c = 6.7344 Å
α = 90.00°, β = 90.00°, γ = 90.00°
Space group Pmma (No. 51)
Asymmetric unit:
Na (0.2500, 0.0000, 0.1810) (multiplicity 2)
Sm (0.2500, 0.5000, 0.6913) (multiplicity 2)
N (0.2500, 0.0000, 0.8322) (multiplicity 2)
O (0.2500, 0.5000, 0.3568) (multiplicity 2)

Record 8
This record from OQMD via LeMat-Bulk describes crystalline NaTaNO at its relaxed geometry. The functional is PBE-GGA.

Summary:
Its energy relative to the lowest polymorph listed for this composition is 0.088 eV/atom. The density is 6.43 g cm⁻³. The spin magnetization comes out at 0.02 μB per cell. The total energy comes out at -63.3 eV for the cell shown.

a = 3.4462 Å, b = 6.1076 Å, c = 5.7394 Å
α = 90.00°, β = 90.00°, γ = 90.00°
Space group Pmc2_1 (No. 26)
Asymmetric unit:
Na (0.0000, 0.1277, 0.0000) (multiplicity 2)
Ta (0.5000, 0.3973, 0.4613) (multiplicity 2)
N (0.0000, 0.2531, 0.4127) (multiplicity 2)
O (0.5000, 0.3189, 0.8186) (multiplicity 2)

Number 7 is which compound? NaSmNO

Which of these has the highest spin magnetization? number 5